First-principles (PBE) data for crystalline Li2MoH2 at its relaxed geometry, as listed in Alexandria.

a = 5.241 Å, b = 5.241 Å, c = 5.241 Å
α = 146.99°, β = 146.99°, γ = 47.37°
Atoms (fractional coordinates):
Li 0.250 0.750 0.500
Li 0.750 0.250 0.500
Mo 0.000 0.000 0.000
H 0.400 0.400 0.000
H 0.600 0.600 0.000

Computed properties:
Calculated volume (Å³ per cell): 42.56
Magnetic moment (μB per atom): 0.1717
Energy above the most stable polymorph in this dataset (eV per atom): 0.244
Crystal system: tetragonal
D(E_F) (states/eV per cell): 2.4



First-principles (PBE) data for crystalline Ca2ZnCd6In at its relaxed geometry, as listed in Alexandria.

a = 12.840 Å, b = 12.840 Å, c = 12.840 Å
α = 32.22°, β = 32.22°, γ = 32.22°
Atoms (fractional coordinates):
Ca 0.103 0.103 0.103
Ca 0.278 0.278 0.278
Ca 0.722 0.722 0.722
Ca 0.897 0.897 0.897
Zn 0.000 0.000 0.000
Zn 0.500 0.500 0.500
Cd 0.073 0.671 0.671
Cd 0.221 0.221 0.640
Cd 0.221 0.640 0.221
Cd 0.329 0.329 0.927
Cd 0.329 0.927 0.329
Cd 0.360 0.779 0.779
Cd 0.640 0.221 0.221
Cd 0.671 0.073 0.671
Cd 0.671 0.671 0.073
Cd 0.779 0.360 0.779
Cd 0.779 0.779 0.360
Cd 0.927 0.329 0.329
In 0.425 0.425 0.425
In 0.575 0.575 0.575

Computed properties:
Calculated volume (Å³ per cell): 534.85
Magnetic moment (μB per atom): 0.0000
Formation enthalpy at 0 K (kJ/mol of formula units): -78
Crystal system: trigonal
D(E_F) (states/eV per cell): 9.9



First-principles (PBE) data for crystalline Tb2SmEr3S6 at its relaxed geometry, as listed in Alexandria.

a = 8.742 Å, b = 8.742 Å, c = 7.864 Å
α = 103.42°, β = 103.42°, γ = 25.73°
Atoms (fractional coordinates):
Tb 0.166 0.166 0.332
Tb 0.834 0.834 0.668
Sm 0.500 0.500 0.000
Er 0.166 0.166 0.834
Er 0.500 0.500 0.500
Er 0.834 0.834 0.166
S 0.001 0.001 0.741
S 0.330 0.330 0.919
S 0.334 0.334 0.413
S 0.666 0.666 0.587
S 0.670 0.670 0.081
S 0.999 0.999 0.259

Computed properties:
Calculated volume (Å³ per cell): 253.44
Magnetic moment (μB per atom): 0.0001
ΔE_f (raw) (eV per atom): -1.986
Crystal system: monoclinic
D(E_F) (states/eV per cell): 5.1



First-principles (PBE) data for crystalline GdInI2 at its relaxed geometry, as listed in Alexandria.

a = 11.111 Å, b = 11.111 Å, c = 11.111 Å
α = 22.08°, β = 22.08°, γ = 22.08°
Atoms (fractional coordinates):
Gd 0.000 0.000 0.000
In 0.500 0.500 0.500
I 0.093 0.093 0.093
I 0.907 0.907 0.907

Computed properties:
Calculated volume (Å³ per cell): 169.95
Magnetic moment (μB per atom): 1.7659
ΔE_f (raw) (eV per atom): -0.398
Crystal system: trigonal
D(E_F) (states/eV per cell): 5.7



First-principles (PBE) data for crystalline Ti2GaBAs at its relaxed geometry, as listed in Alexandria.

a = 4.423 Å, b = 4.423 Å, c = 3.868 Å
α = 90.00°, β = 90.00°, γ = 90.00°
Atoms (fractional coordinates):
Ti 0.000 0.500 0.000
Ti 0.500 0.000 0.000
Ga 0.000 0.000 0.500
B 0.000 0.000 0.000
As 0.500 0.500 0.500

Computed properties:
Calculated volume (Å³ per cell): 75.69
Magnetic moment (μB per atom): 0.2172
Formation enthalpy at 0 K (kJ/mol of formula units): -104
Crystal system: tetragonal
D(E_F) (states/eV per cell): 5.5



First-principles (PBE) data for crystalline TbPr2Nd4Er at its relaxed geometry, as listed in Alexandria.

a = 5.161 Å, b = 5.184 Å, c = 10.313 Å
α = 90.00°, β = 90.14°, γ = 90.00°
Atoms (fractional coordinates):
Tb 0.000 0.000 0.000
Pr 0.000 0.000 0.500
Pr 0.500 0.500 0.000
Nd 0.000 0.500 0.251
Nd 0.000 0.500 0.749
Nd 0.500 0.000 0.250
Nd 0.500 0.000 0.750
Er 0.500 0.500 0.500

Computed properties:
Calculated volume (Å³ per cell): 275.91
Magnetic moment (μB per atom): 0.0001
Formation enthalpy at 0 K (kJ/mol of formula units): 11
Crystal system: monoclinic
D(E_F) (states/eV per cell): 11.9



First-principles (PBE) data for crystalline Li4Th3Ge4 at its relaxed geometry, as listed in Alexandria.

a = 8.355 Å, b = 8.355 Å, c = 8.355 Å
α = 149.03°, β = 131.55°, γ = 58.62°
Atoms (fractional coordinates):
Li 0.015 0.830 0.185
Li 0.355 0.170 0.185
Li 0.645 0.830 0.815
Li 0.985 0.170 0.815
Th 0.000 0.500 0.500
Th 0.372 0.372 0.000
Th 0.628 0.628 0.000
Ge 0.215 0.715 0.500
Ge 0.309 0.000 0.309
Ge 0.691 0.000 0.691
Ge 0.785 0.285 0.500

Computed properties:
Calculated volume (Å³ per cell): 222.81
Magnetic moment (μB per atom): 0.0000
Formation enthalpy at 0 K (kJ/mol of formula units): -635
Crystal system: orthorhombic
D(E_F) (states/eV per cell): 4.4